#w
Computed, not measured: crystalline NaLi2GaPd at its relaxed geometry at the PBE level of DFT.

Cell lengths 4.8641, 4.8641, 4.8161 Å; angles 90.00, 90.00, 90.00 degrees
With the nearest neighbours (Å) after each atom.
Space group P4/mmm (No. 123)
Asymmetric unit:
Na 0.0000 0.0000 0.0000 (multiplicity 1)  8 Li 3.42, 4 Ga 3.44
Li 0.0000 0.5000 0.5000 (multiplicity 2)  2 Pd 2.43
Ga 0.5000 0.5000 0.0000 (multiplicity 1)  2 Pd 2.41
Pd 0.5000 0.5000 0.5000 (multiplicity 1)  2 Ga 2.41, 4 Li 2.43

Calculated values
As for the total magnetization: 0.00 μB per cell.

=====

#x
Computed, not measured: crystalline NaLi2GaPd at its relaxed geometry at the PBE level of DFT.

Cell lengths 4.9339, 4.9339, 4.7164 Å; angles 90.00, 90.00, 90.00 degrees
With the nearest neighbours (Å) after each atom.
Space group P4/mmm (No. 123)
Asymmetric unit:
Na 0.0000 0.0000 0.0000 (multiplicity 1)  8 Li 3.41, 4 Pd 3.49
Li 0.0000 0.5000 0.5000 (multiplicity 2)  2 Ga 2.47
Ga 0.5000 0.5000 0.5000 (multiplicity 1)  2 Pd 2.36, 4 Li 2.47
Pd 0.5000 0.5000 0.0000 (multiplicity 1)  2 Ga 2.36

Calculated values
As for the total magnetization: 0.00 μB per cell.

=====

Relative energy of each structure, in meV per atom: #w 0; #x 150.

=====

#w
Computed, not measured: crystalline LiNb2Ga2 at its relaxed geometry at the PBE level of DFT.

Cell lengths 3.8020, 3.8020, 13.2038 Å; angles 90.00, 90.00, 90.00 degrees
With the nearest neighbours (Å) after each atom.
Space group I4/mmm (No. 139)
Asymmetric unit:
Li 0.0000 0.0000 0.0000 (multiplicity 2)  8 Ga 2.95
Nb 0.0000 0.5000 0.2500 (multiplicity 4)  4 Nb 2.69, 4 Ga 2.82
Ga 0.0000 0.0000 0.4081 (multiplicity 4)  1 Ga 2.43

Calculated values
As for the total magnetization: 0.00 μB per cell.

=====

#x
Computed, not measured: crystalline LiNb2Ga2 at its relaxed geometry at the PBE level of DFT.

Cell lengths 8.1329, 8.1329, 2.8177 Å; angles 90.00, 90.00, 90.00 degrees
With the nearest neighbours (Å) after each atom.
Space group P4/mbm (No. 127)
Asymmetric unit:
Li 0.0000 0.0000 0.0000 (multiplicity 2)  2 Li 2.82
Nb 0.1171 0.3829 0.0000 (multiplicity 4)  3 Nb 2.69-2.82, 6 Ga 2.74-2.84
Ga 0.1790 0.6790 0.5000 (multiplicity 4)  6 Nb 2.74-2.84, 2 Ga 2.82

Calculated values
As for the total magnetization: 0.00 μB per cell.

=====

#y
Computed, not measured: crystalline LiNb2Ga2 at its relaxed geometry at the PBE level of DFT.

Cell lengths 6.6054, 6.6054, 3.8037 Å; angles 90.00, 90.00, 90.00 degrees
With the nearest neighbours (Å) after each atom.
Space group P4/mbm (No. 127)
Asymmetric unit:
Li 0.0000 0.0000 0.0000 (multiplicity 2)  4 Ga 2.58
Nb 0.1726 0.3274 0.5000 (multiplicity 4)  6 Ga 2.63-2.78
Ga 0.1326 0.6326 0.0000 (multiplicity 4)  1 Ga 2.48, 2 Li 2.58, 2 Nb 2.63

Calculated values
As for the total magnetization: 0.00 μB per cell.

=====

Relative energy of each structure, in meV per atom: #w 226; #x 48; #y 0.

=====

#w
Computed, not measured: crystalline LiNdGa at its relaxed geometry at the PBE level of DFT.

Cell lengths 7.2263, 7.2263, 4.6169 Å; angles 90.00, 90.00, 120.00 degrees
With the nearest neighbours (Å) after each atom.
Space group P-62m (No. 189)
Asymmetric unit:
Li 0.0000 0.2297 0.0000 (multiplicity 3)  4 Ga 2.84-2.86, 2 Li 2.87
Nd 0.0000 0.5780 0.5000 (multiplicity 3)  5 Ga 3.05-3.16, 2 Li 3.42
Ga 0.0000 0.0000 0.5000 (multiplicity 1)  6 Li 2.84, 3 Nd 3.05
Ga 0.3333 0.6667 0.0000 (multiplicity 2)  3 Li 2.86, 6 Nd 3.16

Calculated values
As for the total magnetization: 0.00 μB per cell.

=====

#x
Computed, not measured: crystalline LiNdGa at its relaxed geometry at the PBE level of DFT.

Cell lengths 3.5182, 3.5182, 11.0534 Å; angles 90.00, 90.00, 90.00 degrees
With the nearest neighbours (Å) after each atom.
Space group I4mm (No. 107)
Asymmetric unit:
Li 0.0000 0.0000 0.0000 (multiplicity 2)  4 Ga 2.77
Nd 0.0000 0.0000 0.2902 (multiplicity 2)  5 Ga 3.18-3.54, 5 Li 3.21-3.40, 4 Nd 3.52
Ga 0.0000 0.0000 0.6104 (multiplicity 2)  4 Li 2.77

Calculated values
As for the total magnetization: 0.00 μB per cell.

=====

#y
Computed, not measured: crystalline LiNdGa at its relaxed geometry at the PBE level of DFT.

Cell lengths 4.2434, 4.2434, 17.9132 Å; angles 90.00, 90.00, 90.00 degrees
With the nearest neighbours (Å) after each atom.
Space group I4/mmm (No. 139)
Asymmetric unit:
Li 0.0000 0.0000 0.2139 (multiplicity 4)  1 Ga 2.60
Nd 0.0000 0.0000 0.4039 (multiplicity 4)  4 Ga 3.04, 1 Li 3.40
Ga 0.0000 0.0000 0.0685 (multiplicity 4)  1 Ga 2.45, 1 Li 2.60

Calculated values
As for the total magnetization: 0.57 μB per cell.

=====

#z
Computed, not measured: crystalline LiNdGa at its relaxed geometry at the PBE level of DFT.

Cell lengths 4.8009, 4.8009, 3.4156 Å; angles 90.00, 90.00, 120.00 degrees
With the nearest neighbours (Å) after each atom.
Space group P-6m2 (No. 187)
Asymmetric unit:
Li 0.0000 0.0000 0.0000 (multiplicity 1)  3 Ga 2.77
Nd 0.6667 0.3333 0.5000 (multiplicity 1)  6 Li 3.26, 6 Ga 3.26, 2 Nd 3.42
Ga 0.3333 0.6667 0.0000 (multiplicity 1)  3 Li 2.77

Calculated values
As for the total magnetization: 0.01 μB per cell.

=====

Relative energy of each structure, in meV per atom: #w 0; #x 164; #y 302; #z 37.

=====

#w
Computed, not measured: crystalline Li3NdGa3 at its relaxed geometry at the PBE level of DFT.

Cell lengths 6.6804, 6.6804, 6.6804 Å; angles 90.00, 90.00, 90.00 degrees
With the nearest neighbours (Å) after each atom.
Space group Pm-3n (No. 223)
Asymmetric unit:
Li 0.0000 0.2500 0.5000 (multiplicity 6)  4 Ga 2.36
Nd 0.0000 0.0000 0.0000 (multiplicity 2)  12 Li 3.73, 12 Ga 3.73
Ga 0.0000 0.5000 0.2500 (multiplicity 6)  4 Li 2.36

Calculated values
As for the total magnetization: 0.00 μB per cell.

=====

#x
Computed, not measured: crystalline Li3NdGa3 at its relaxed geometry at the PBE level of DFT.

Cell lengths 7.2911, 4.4153, 9.2931 Å; angles 90.00, 108.29, 90.00 degrees
With the nearest neighbours (Å) after each atom.
Space group P2_1/m (No. 11)
Asymmetric unit:
Li 0.0322 0.2500 0.2515 (multiplicity 2)  3 Ga 2.65-2.85, 2 Li 2.79
Li 0.1878 0.2500 0.9426 (multiplicity 2)  3 Ga 2.77-2.83, 2 Li 2.98
Li 0.2767 0.7500 0.2885 (multiplicity 2)  5 Ga 2.74-2.97, 2 Li 2.79
Nd 0.3809 0.7500 0.7097 (multiplicity 2)  8 Ga 2.94-3.20, 1 Li 3.14
Ga 0.0508 0.2500 0.5860 (multiplicity 2)  3 Ga 2.69-2.75, 3 Li 2.85-2.97
Ga 0.3615 0.2500 0.4789 (multiplicity 2)  4 Li 2.65-2.84, 3 Ga 2.75-2.93, 1 Nd 2.94
Ga 0.4208 0.7500 0.0491 (multiplicity 2)  4 Li 2.74-2.83, 2 Ga 2.78

Calculated values
As for the total magnetization: 0.00 μB per cell.

=====

#y
Computed, not measured: crystalline Li3NdGa3 at its relaxed geometry at the PBE level of DFT.

Cell lengths 8.0147, 8.0147, 14.6613 Å; angles 90.00, 90.00, 120.00 degrees
With the nearest neighbours (Å) after each atom.
Space group R-3 (No. 148, hexagonal axes)
Asymmetric unit:
Li 0.0211 0.2340 0.4357 (multiplicity 18)  3 Ga 2.52-2.72, 2 Li 2.60
Nd 0.0000 0.0000 0.2026 (multiplicity 6)  3 Li 3.13, 6 Ga 3.15-3.20
Ga 0.0021 0.7183 0.0484 (multiplicity 18)  3 Li 2.52-2.72, 2 Ga 2.67

Calculated values
As for the total magnetization: 0.00 μB per cell.

=====

Relative energy of each structure, in meV per atom: #w 431; #x 0; #y 83.

=====

#w
Computed, not measured: crystalline Li2NdGa2 at its relaxed geometry at the PBE level of DFT.

Cell lengths 4.1863, 4.1863, 11.9908 Å; angles 90.00, 90.00, 90.00 degrees
With the nearest neighbours (Å) after each atom.
Space group I4/mmm (No. 139)
Asymmetric unit:
Li 0.0000 0.5000 0.2500 (multiplicity 4)  4 Ga 2.72, 4 Li 2.96
Nd 0.0000 0.0000 0.0000 (multiplicity 2)  8 Ga 3.22
Ga 0.0000 0.0000 0.3953 (multiplicity 4)  1 Ga 2.51, 4 Li 2.72

Calculated values
As for the total magnetization: 0.00 μB per cell.

=====

#x
Computed, not measured: crystalline Li2NdGa2 at its relaxed geometry at the PBE level of DFT.

Cell lengths 4.1978, 4.3467, 23.2589 Å; angles 90.00, 90.00, 90.00 degrees
With the nearest neighbours (Å) after each atom.
Space group Imma (No. 74)
Asymmetric unit:
Li 0.0000 0.2500 0.0458 (multiplicity 4)  2 Ga 2.70, 2 Li 3.01
Li 0.0000 0.2500 0.5469 (multiplicity 4)  2 Ga 2.62
Nd 0.0000 0.2500 0.3276 (multiplicity 4)  10 Ga 3.23-3.31, 2 Li 3.62
Ga 0.0000 0.2500 0.7784 (multiplicity 4)  3 Ga 2.48-2.49
Ga 0.0000 0.2500 0.8855 (multiplicity 4)  1 Ga 2.49, 4 Li 2.62-2.70

Calculated values
As for the total magnetization: 0.00 μB per cell.

=====

Relative energy of each structure, in meV per atom: #w 19; #x 0.

=====

#w
Computed, not measured: crystalline LiNdGa2 at its relaxed geometry at the PBE level of DFT.

Cell lengths 4.7910, 4.7910, 3.8737 Å; angles 90.00, 90.00, 90.00 degrees
With the nearest neighbours (Å) after each atom.
Space group P4/mmm (No. 123)
Asymmetric unit:
Li 0.0000 0.0000 0.0000 (multiplicity 1)  8 Ga 3.08, 4 Nd 3.39
Nd 0.5000 0.5000 0.0000 (multiplicity 1)  8 Ga 3.08, 4 Li 3.39
Ga 0.0000 0.5000 0.5000 (multiplicity 2)  4 Nd 3.08, 4 Li 3.08, 4 Ga 3.39

Calculated values
As for the total magnetization: 0.00 μB per cell.

=====

#x
Computed, not measured: crystalline LiNdGa2 at its relaxed geometry at the PBE level of DFT.

Cell lengths 6.9814, 6.9814, 6.9814 Å; angles 90.00, 90.00, 90.00 degrees
With the nearest neighbours (Å) after each atom.
Space group Fm-3m (No. 225)
Asymmetric unit:
Li 0.0000 0.0000 0.0000 (multiplicity 4)  8 Ga 3.02
Nd 0.0000 0.0000 0.5000 (multiplicity 4)  8 Ga 3.02
Ga 0.2500 0.2500 0.2500 (multiplicity 8)  4 Li 3.02, 4 Nd 3.02

Calculated values
As for the total magnetization: 0.00 μB per cell.

=====

#y
Computed, not measured: crystalline LiNdGa2 at its relaxed geometry at the PBE level of DFT.

Cell lengths 4.3472, 4.3472, 15.6499 Å; angles 90.00, 90.00, 120.00 degrees
With the nearest neighbours (Å) after each atom.
Space group R-3m (No. 166, hexagonal axes)
Asymmetric unit:
Li 0.0000 0.0000 0.0000 (multiplicity 3)  6 Ga 2.60
Nd 0.0000 0.0000 0.5000 (multiplicity 3)  8 Ga 3.17-3.27
Ga 0.0000 0.0000 0.2909 (multiplicity 6)  3 Li 2.60, 3 Ga 2.84

Calculated values
As for the total magnetization: 0.00 μB per cell.

=====

#z
Computed, not measured: crystalline LiNdGa2 at its relaxed geometry at the PBE level of DFT.

Cell lengths 3.4328, 3.4328, 6.9379 Å; angles 90.00, 90.00, 90.00 degrees
With the nearest neighbours (Å) after each atom.
Space group P4/mmm (No. 123)
Asymmetric unit:
Li 0.0000 0.0000 0.0000 (multiplicity 1)  8 Ga 2.79
Nd 0.0000 0.0000 0.5000 (multiplicity 1)  8 Ga 3.21, 4 Nd 3.43, 2 Li 3.47
Ga 0.5000 0.5000 0.1971 (multiplicity 2)  1 Ga 2.73, 4 Li 2.79

Calculated values
As for the total magnetization: 0.00 μB per cell.

=====

Relative energy of each structure, in meV per atom: #w 101; #x 44; #y 0; #z 69.

=====

#w
Computed, not measured: crystalline Li2NdGa6 at its relaxed geometry at the PBE level of DFT.

Cell lengths 4.1314, 7.1824, 11.8823 Å; angles 90.00, 90.00, 90.00 degrees
With the nearest neighbours (Å) after each atom.
Space group Immm (No. 71)
Asymmetric unit:
Li 0.0000 0.0000 0.1159 (multiplicity 4)  6 Ga 2.63-2.77, 1 Li 2.75
Nd 0.0000 0.5000 0.0000 (multiplicity 2)  12 Ga 3.14-3.37
Ga 0.0000 0.1873 0.3061 (multiplicity 8)  4 Ga 2.52-2.69, 1 Li 2.63
Ga 0.0000 0.3291 0.5000 (multiplicity 4)  3 Ga 2.46-2.52

Calculated values
As for the total magnetization: 0.00 μB per cell.

=====

#x
Computed, not measured: crystalline Li2NdGa6 at its relaxed geometry at the PBE level of DFT.

Cell lengths 7.7426, 7.7426, 3.4441 Å; angles 90.00, 90.00, 120.00 degrees
With the nearest neighbours (Å) after each atom.
Space group P6/mmm (No. 191)
Asymmetric unit:
Li 0.3333 0.6667 0.0000 (multiplicity 2)  12 Ga 3.08, 2 Li 3.44
Nd 0.0000 0.0000 0.0000 (multiplicity 1)  12 Ga 3.14, 2 Nd 3.44
Ga 0.0000 0.3394 0.5000 (multiplicity 6)  3 Ga 2.49-2.63

Calculated values
As for the total magnetization: 0.00 μB per cell.

=====

Relative energy of each structure, in meV per atom: #w 0; #x 6.

=====

#w
Computed, not measured: crystalline LiNd3Ga at its relaxed geometry at the PBE level of DFT.

Cell lengths 7.6307, 7.0697, 10.8144 Å; angles 90.00, 102.60, 90.00 degrees
With the nearest neighbours (Å) after each atom.
Space group P2_1/c (No. 14)
Asymmetric unit:
Li 0.0637 0.2190 0.0390 (multiplicity 4)  1 Ga 2.81
Nd 0.2050 0.5343 0.2657 (multiplicity 4)  2 Ga 3.06-3.22, 1 Li 3.32, 1 Nd 3.38
Nd 0.2677 0.0524 0.3631 (multiplicity 4)  3 Ga 3.01-3.37, 1 Li 3.15
Nd 0.3529 0.6429 0.5750 (multiplicity 4)  3 Ga 3.07-3.24, 2 Li 3.19-3.35, 2 Nd 3.38-3.43
Ga 0.4329 0.2246 0.6376 (multiplicity 4)  1 Li 2.81, 3 Nd 3.01-3.07

Calculated values
As for the total magnetization: 0.00 μB per cell.

=====

#x
Computed, not measured: crystalline LiNd3Ga at its relaxed geometry at the PBE level of DFT.

Cell lengths 5.2252, 20.3932, 5.2189 Å; angles 90.00, 90.00, 90.00 degrees
With the nearest neighbours (Å) after each atom.
Space group Cmcm (No. 63)
Asymmetric unit:
Li 0.0000 0.1581 0.2500 (multiplicity 4)  8 Nd 3.20-3.23
Nd 0.0000 0.0648 0.7500 (multiplicity 4)  2 Li 3.23, 2 Ga 3.26
Nd 0.0000 0.2496 0.7500 (multiplicity 4)  4 Ga 3.19, 4 Li 3.21-3.22
Nd 0.0000 0.4325 0.7500 (multiplicity 4)  2 Li 3.20, 2 Ga 3.22
Ga 0.0000 0.3399 0.2500 (multiplicity 4)  8 Nd 3.19-3.26

Calculated values
As for the total magnetization: 0.00 μB per cell.

=====

Relative energy of each structure, in meV per atom: #w 61; #x 0.

=====

#w
Computed, not measured: crystalline Li5Ga2Ni at its relaxed geometry at the PBE level of DFT.

Cell lengths 5.3567, 10.4737, 4.1435 Å; angles 90.00, 90.00, 90.00 degrees
With the nearest neighbours (Å) after each atom.
Space group Pbam (No. 55)
Asymmetric unit:
Li 0.0000 0.0000 0.0000 (multiplicity 2)  2 Ni 2.68, 6 Li 2.70, 4 Ga 2.93
Li 0.1120 0.2514 0.0000 (multiplicity 4)  7 Li 2.63-2.85, 1 Ni 2.67, 2 Ga 2.87
Li 0.1783 0.8622 0.5000 (multiplicity 4)  4 Ga 2.62-2.77, 6 Li 2.63-2.85
Ga 0.1666 0.5997 0.5000 (multiplicity 4)  2 Ni 2.49, 4 Li 2.62-2.77, 1 Ga 2.75
Ni 0.0000 0.5000 0.0000 (multiplicity 2)  4 Ga 2.49, 4 Li 2.67-2.68

Calculated values
As for the total magnetization: 0.00 μB per cell.

=====

#x
Computed, not measured: crystalline Li5Ga2Ni at its relaxed geometry at the PBE level of DFT.

Cell lengths 6.6038, 12.0220, 2.9911 Å; angles 90.00, 90.00, 90.00 degrees
With the nearest neighbours (Å) after each atom.
Space group Pbam (No. 55)
Asymmetric unit:
Li 0.0000 0.0000 0.0000 (multiplicity 2)  8 Li 2.75-2.99, 4 Ga 2.79
Li 0.0180 0.2376 0.0000 (multiplicity 4)  5 Li 2.66-2.86, 4 Ga 2.74-2.77
Li 0.2244 0.3814 0.5000 (multiplicity 4)  2 Ni 2.54, 6 Li 2.66-2.84, 1 Ga 2.82
Ga 0.2133 0.6157 0.5000 (multiplicity 4)  2 Ni 2.48, 4 Li 2.74-2.77
Ni 0.0000 0.5000 0.0000 (multiplicity 2)  4 Ga 2.48, 4 Li 2.54

Calculated values
As for the total magnetization: 0.00 μB per cell.

=====

Relative energy of each structure, in meV per atom: #w 0; #x 11.